# NaSr2PtPb | the Alexandria database | PBE | relaxed
data_NaSr2PtPb
_symmetry_space_group_name_H-M 'P 4/m m m'
_symmetry_Int_Tables_number 123
_symmetry_space_group_name_Hall '-P 4 2'
_cell_length_a 6.0033
_cell_length_b 6.0033
_cell_length_c 5.2838
_cell_angle_alpha 90.00
_cell_angle_beta 90.00
_cell_angle_gamma 90.00
loop_
_atom_site_label
_atom_site_type_symbol
_atom_site_fract_x
_atom_site_fract_y
_atom_site_fract_z
Na1 Na 0.0000 0.0000 0.0000
Sr1 Sr 0.0000 0.5000 0.5000
Pt1 Pt 0.5000 0.5000 0.5000
Pb1 Pb 0.5000 0.5000 0.0000
# V in Å³/cell: 190.4
# Density of states at the Fermi level in states/eV per cell: 4.4
# ΔH_f (0 K) in eV/atom: -0.365

# NaTbPtPb | the Alexandria database | PBE | relaxed
data_NaTbPtPb
_symmetry_space_group_name_H-M 'F -4 3 m'
_symmetry_Int_Tables_number 216
_symmetry_space_group_name_Hall 'F -4 2 3'
_cell_length_a 7.0050
_cell_length_b 7.0050
_cell_length_c 7.0050
_cell_angle_alpha 90.00
_cell_angle_beta 90.00
_cell_angle_gamma 90.00
loop_
_atom_site_label
_atom_site_type_symbol
_atom_site_fract_x
_atom_site_fract_y
_atom_site_fract_z
Na1 Na 0.0000 0.0000 0.0000
Tb1 Tb 0.2500 0.2500 0.2500
Pt1 Pt 0.0000 0.0000 0.5000
Pb1 Pb 0.2500 0.2500 0.7500
# V in Å³/cell: 343.7
# Density of states at the Fermi level in states/eV per cell: 0.7
# ΔH_f (0 K) in eV/atom: -0.547